Entry from Alexandria: a geometry-optimized CsCo2PdF8 structure (PBE with a Hubbard U).

Properties
mass density = 4.3 g/cm³
total moment = 7.0 μB/f.u.
E_tot = -53.66 eV for the cell shown
Fermi-level density of states = 0.481 states/eV/atom

a = 5.243 Å, b = 5.581 Å, c = 7.144 Å
α = 72.54°, β = 83.99°, γ = 87.45°
Sites, in units of the cell vectors:
Cs (0.000, 0.000, 0.000)
Co (0.477, 0.451, 0.230)
Co (0.523, 0.549, 0.770)
Pd (0.000, 0.000, 0.500)
F (0.213, 0.304, 0.449)
F (0.266, 0.800, 0.670)
F (0.274, 0.434, 0.022)
F (0.434, 0.774, 0.238)
F (0.566, 0.226, 0.762)
F (0.726, 0.566, 0.978)
F (0.734, 0.200, 0.330)
F (0.787, 0.696, 0.551)